[1]
Computed, not measured: crystalline Bi8S3 at its relaxed geometry at the PBE level of DFT.

a b c (Å): 4.3465 4.3465 64.2353
angles (deg): 90.00 90.00 120.00
Space group R-3m (No. 166, hexagonal axes)
One atom of each set of equivalent atoms:
Bi 0.0000 0.0000 0.0558 (multiplicity 6)
Bi 0.0000 0.0000 0.1405 (multiplicity 6)
Bi 0.0000 0.0000 0.3199 (multiplicity 6)
Bi 0.0000 0.0000 0.4162 (multiplicity 6)
S 0.0000 0.0000 0.2135 (multiplicity 6)
S 0.0000 0.0000 0.5000 (multiplicity 3)

Summary:
Its uncorrected energy is -4.073 eV/atom. The density of states at the Fermi level is 7.464 states/eV per cell.

[2]
Computed, not measured: crystalline Sm2TeBr2 at its relaxed geometry at the PBE level of DFT.

a b c (Å): 7.444 4.295 10.847
angles (deg): 90.00 90.52 90.00
Space group C2/m (No. 12)
One atom of each set of equivalent atoms:
Sm 0.169 0.000 0.163 (multiplicity 4)
Te 0.000 0.500 0.000 (multiplicity 2)
Br 0.162 0.000 0.675 (multiplicity 4)

Summary:
Its uncorrected energy is -4.728 eV/atom. The density of states at the Fermi level is 5.015 states/eV per cell.

[3]
Computed, not measured: crystalline CaGe2B at its relaxed geometry at the PBE level of DFT.

a b c (Å): 4.985 4.985 13.691
angles (deg): 90.00 90.00 90.00
Space group I-42d (No. 122)
One atom of each set of equivalent atoms:
Ca 0.000 0.000 0.000 (multiplicity 4)
Ge 0.101 0.250 0.625 (multiplicity 8)
B 0.000 0.000 0.500 (multiplicity 4)

Summary:
Its uncorrected energy is -4.280 eV/atom. The value obtained for the formation enthalpy at 0 K is 0.198 eV/atom. The density of states at the Fermi level is 3.151 states/eV per cell.

[4]
Computed, not measured: crystalline Hf3NiPt at its relaxed geometry at the PBE level of DFT.

a b c (Å): 4.711 4.711 4.711
angles (deg): 90.00 90.00 90.00
Space group Pm-3m (No. 221)
One atom of each set of equivalent atoms:
Hf 0.000 0.000 0.500 (multiplicity 3)
Ni 0.000 0.000 0.000 (multiplicity 1)
Pt 0.500 0.500 0.500 (multiplicity 1)

Summary:
The value obtained for the relative energy among the computed polymorphs is 0.701 eV/atom. Its uncorrected energy is -8.234 eV/atom. The value obtained for the formation enthalpy at 0 K is 0.103 eV/atom. The density of states at the Fermi level is 7.826 states/eV per cell.

[5]
Computed, not measured: crystalline TaWN at its relaxed geometry at the PBE level of DFT.

a b c (Å): 11.253 2.981 5.263
angles (deg): 90.00 117.38 90.00
Space group Cm (No. 8)
One atom of each set of equivalent atoms:
Ta 0.000 0.000 0.000 (multiplicity 2)
Ta 0.241 0.000 0.880 (multiplicity 2)
W 0.253 0.500 0.428 (multiplicity 2)
W 0.490 0.000 0.487 (multiplicity 2)
N 0.115 0.500 0.931 (multiplicity 2)
N 0.373 0.500 0.201 (multiplicity 2)

Summary:
Its uncorrected energy is -11.456 eV/atom. The density of states at the Fermi level is 6.539 states/eV per cell.

[6]
Computed, not measured: crystalline Be3C at its relaxed geometry at the PBE level of DFT.

a b c (Å): 3.0438 3.0438 3.8554
angles (deg): 90.00 90.00 120.00
Space group P-6m2 (No. 187)
One atom of each set of equivalent atoms:
Be 0.0000 0.0000 0.0000 (multiplicity 1)
Be 0.3333 0.6667 0.2764 (multiplicity 2)
C 0.0000 0.0000 0.5000 (multiplicity 1)

Summary:
The value obtained for the relative energy among the computed polymorphs is 0.104 eV/atom. Its uncorrected energy is -4.790 eV/atom. The value obtained for the formation enthalpy at 0 K is 0.310 eV/atom. The density of states at the Fermi level is 0.361 states/eV per cell.

Summary of magnetic moment in μB/f.u.
0.00 0.00 0.00 0.00 0.00 0.00
(order as listed above)